A geometry-optimized PmScI2 structure, computed with PBE.

Results
Density of states at the Fermi level   16.6 states/eV/cell
Formation energy (no corrections)   -13.3 kcal/mol of atoms
Size of the total moment   0.47 μB/f.u.

Cell lengths 3.8231, 3.8231, 31.1804 Å; angles 90.00, 90.00, 120.00 degrees
Last column: nearest neighbours and their distance in Å.
Space group R-3m (No. 166, hexagonal axes)
One atom of each set of equivalent atoms:
Pm: 0.0000 0.0000 0.0000 (multiplicity 3)  2 I 3.24
Sc: 0.0000 0.0000 0.5000 (multiplicity 3)  6 I 2.95
I: 0.0000 0.0000 0.1038 (multiplicity 6)  3 Sc 2.95, 1 Pm 3.24